VASP calculation (GGA-PBEsol) on a relaxed structure of CsRbTlBr2.

```
data_CsRbTlBr2
_chemical_formula_sum 'Cs1 Rb1 Tl1 Br2'
_cell_length_a 6.306
_cell_length_b 6.306
_cell_length_c 6.337
_cell_angle_alpha 90.00
_cell_angle_beta 90.00
_cell_angle_gamma 90.00
_space_group_name_H-M_alt 'P 4/m m m'
_space_group_IT_number 123
_space_group_name_Hall '-P 4 2'
loop_
_atom_site_label
_atom_site_type_symbol
_atom_site_fract_x
_atom_site_fract_y
_atom_site_fract_z
Cs1 Cs 0.000 0.000 0.000
Rb1 Rb 0.500 0.500 0.500
Tl1 Tl 0.500 0.500 0.000
Br1 Br 0.000 0.500 0.500
```

Output
volume: 252.0 Å³/cell
Fermi-level density of states: 3.68 states/eV per cell
magnetic moment: 1.01 μB/f.u.
formation energy (no corrections): -0.725 eV/atom
energy: -11.96 eV per formula unit